Computed, not measured: crystalline Ce2PuHfSb4 at its relaxed geometry at the PBE level of DFT.

The structure belongs to space group P2/m (No. 10); the cell edges are 7.550, 4.371 and 7.600 Å and the angles 90.00°, 109.30° and 90.00°. The distinct sites, in fractional coordinates, are Ce at (0.000, 0.000, 0.000), Ce at (0.000, 0.500, 0.500), Pu at (0.500, 0.000, 0.500), Hf at (0.500, 0.500, 0.000), Sb at (0.262, 0.500, 0.243) and Sb at (0.269, 0.000, 0.767).

As for the density of states at the Fermi level: 2.80 states/eV/atom. The value obtained for the total magnetic moment is 7.13 μB per formula unit. Its energy relative to the elements, uncorrected is -0.78 eV per atom.